# 1
This record from the Alexandria database describes a relaxed structure of K2NaZn2O4. The functional is PBE-GGA.

Results
ΔE_f (raw) = -1.2447 eV/atom
Crystal system = monoclinic
V = 140 Å³ per cell
Energy = -37.10 eV/cell
Symmetry = C2/m (12)

a = 3.3991 Å, b = 6.3498 Å, c = 7.1267 Å
α = 109.83°, β = 103.80°, γ = 90.00°
Positions (direct):
K: 0.1230 0.5146 0.2459
K: 0.8770 0.4854 0.7541
Na: 0.0000 0.0000 0.0000
Zn: 0.6689 0.9880 0.3378
Zn: 0.3311 0.0120 0.6622
O: 0.2163 0.1647 0.4326
O: 0.7837 0.8353 0.5674
O: 0.5313 0.7733 0.0626
O: 0.4687 0.2267 0.9374

# 2
This record from the Alexandria database describes a relaxed structure of KNa2ZnO. The functional is PBE-GGA.

Results
ΔE_f (raw) = -0.5166 eV/atom
Crystal system = tetragonal
V = 122 Å³ per cell
Energy = -12.55 eV/cell
Symmetry = P4/mmm (123)

a = 4.7386 Å, b = 5.4368 Å, c = 4.7386 Å
α = 90.00°, β = 90.00°, γ = 90.00°
Positions (direct):
Na: 0.0000 0.0000 0.5000
Na: 0.5000 0.0000 0.0000
Zn: 0.5000 0.5000 0.5000
K: 0.0000 0.5000 0.0000
O: 0.0000 0.0000 0.0000

# 3
This record from the Alexandria database describes a relaxed structure of KNa2Os. The functional is PBE-GGA.

Results
Crystal system = tetragonal
Formation enthalpy at 0 K = 5.5 eV per formula unit
V = 246 Å³ per cell
Energy above the lowest structure with this stoichiometry = 167.4 meV/atom
Energy = -18.97 eV/cell
Symmetry = I-42d (122)

a = 4.7356 Å, b = 4.7356 Å, c = 11.4571 Å
α = 78.07°, β = 78.07°, γ = 90.00°
Positions (direct):
Na: 0.6710 0.1250 0.2500
Na: 0.0790 0.6250 0.2500
Na: 0.3750 0.3290 0.7500
Na: 0.8750 0.9210 0.7500
K: 0.5000 0.5000 0.0000
K: 0.2500 0.7500 0.5000
Os: 0.0000 0.0000 0.0000
Os: 0.7500 0.2500 0.5000

# 4
This record from the Alexandria database describes a relaxed structure of K2NaOs. The functional is PBE-GGA.

Results
Crystal system = tetragonal
Formation enthalpy at 0 K = 5.9 eV per formula unit
V = 258 Å³ per cell
Energy above the lowest structure with this stoichiometry = 144.9 meV/atom
Energy = -17.72 eV/cell
Symmetry = I-42d (122)

a = 4.7184 Å, b = 4.7184 Å, c = 12.0561 Å
α = 78.72°, β = 78.72°, γ = 90.00°
Positions (direct):
Na: 0.5000 0.5000 0.0000
Na: 0.2500 0.7500 0.5000
K: 0.6372 0.1250 0.2500
K: 0.1128 0.6250 0.2500
K: 0.3750 0.3628 0.7500
K: 0.8750 0.8872 0.7500
Os: 0.0000 0.0000 0.0000
Os: 0.7500 0.2500 0.5000

# 5
This record from the Alexandria database describes a relaxed structure of K2NaOs. The functional is PBE-GGA.

Results
Crystal system = cubic
Formation enthalpy at 0 K = 5.3 eV per formula unit
V = 132 Å³ per cell
Energy above the lowest structure with this stoichiometry = 0.0 meV/atom
Energy = -9.44 eV/cell
Symmetry = Fm-3m (225)

a = 5.7091 Å, b = 5.7091 Å, c = 5.7091 Å
α = 60.00°, β = 60.00°, γ = 60.00°
Positions (direct):
Na: 0.0000 0.0000 0.0000
K: 0.2500 0.2500 0.2500
K: 0.7500 0.7500 0.7500
Os: 0.5000 0.5000 0.5000

# 6
This record from the Alexandria database describes a relaxed structure of KNa2Os. The functional is PBE-GGA.

Results
Crystal system = cubic
Formation enthalpy at 0 K = 4.8 eV per formula unit
V = 108 Å³ per cell
Energy above the lowest structure with this stoichiometry = 0.0 meV/atom
Energy = -10.15 eV/cell
Symmetry = Fm-3m (225)

a = 5.3451 Å, b = 5.3451 Å, c = 5.3451 Å
α = 60.00°, β = 60.00°, γ = 60.00°
Positions (direct):
Na: 0.2500 0.2500 0.2500
Na: 0.7500 0.7500 0.7500
K: 0.0000 0.0000 0.0000
Os: 0.5000 0.5000 0.5000